VASP calculation (PBE) on a geometry-optimized KTl2Pb2 structure.

- Distance to the lowest polymorph of the same formula: 18 meV per atom
- Space group: No. 127
- Calculated volume: 171.3 Å³/f.u.
- DOS at the Fermi energy: 4.632 states/eV/cell
- DFT formation energy: -0.05 eV/atom

a b c (Å): 9.6769 9.6769 3.6595
angles (deg): 90.00 90.00 90.00
Last column: nearest neighbours and their distance in Å.
Positions (direct):
Pb: 0.8740 0.6260 0.0000  6 Tl 3.38-3.39, 3 Pb 3.45-3.66
K: 0.5000 0.5000 0.0000  2 K 3.66, 4 Pb 3.82, 8 Tl 4.04
Tl: 0.6664 0.8336 0.5000  6 Pb 3.38-3.39, 2 Tl 3.66
Pb: 0.1260 0.3740 0.0000  6 Tl 3.38-3.39, 3 Pb 3.45-3.66
Tl: 0.3336 0.1664 0.5000  6 Pb 3.38-3.39, 2 Tl 3.66
Pb: 0.6260 0.1260 0.0000  6 Tl 3.38-3.39, 3 Pb 3.45-3.66
Pb: 0.3740 0.8740 0.0000  6 Tl 3.38-3.39, 3 Pb 3.45-3.66
Tl: 0.1664 0.6664 0.5000  6 Pb 3.38-3.39, 2 Tl 3.66
K: 0.0000 0.0000 0.0000  2 K 3.66, 4 Pb 3.82, 8 Tl 4.04
Tl: 0.8336 0.3336 0.5000  6 Pb 3.38-3.39, 2 Tl 3.66



VASP calculation (PBE) on a geometry-optimized Y2AsSe structure.

- Distance to the lowest polymorph of the same formula: 72 meV per atom
- Space group: No. 160
- Calculated volume: 99.9 Å³/f.u.
- DOS at the Fermi energy: 2.679 states/eV/cell
- Formation energy from raw total energies: -1.65 eV per atom

a b c (Å): 4.0362 4.0362 7.4529
angles (deg): 74.29 74.29 60.00
Last column: nearest neighbours and their distance in Å.
Positions (direct):
Se: 0.4986 0.4986 0.5041  6 Y 3.00-3.03
Y: 0.2567 0.2567 0.2299  3 As 2.86, 3 Se 3.03
As: 0.6682 0.6682 0.9954  6 Y 2.82-2.86
Y: 0.0764 0.0764 0.7707  3 As 2.82, 3 Se 3.00



VASP calculation (PBE) on a geometry-optimized BeZnIn2H structure.

- Space group: No. 123
- DFT total energy: -2.2323 eV/atom
- Calculated volume: 86.3 Å³/f.u.
- DOS at the Fermi energy: 1.622 states/eV/cell

a b c (Å): 4.7767 4.7767 3.7808
angles (deg): 90.00 90.00 90.00
Last column: nearest neighbours and their distance in Å.
Positions (direct):
Be: 0.5000 0.5000 0.5000  8 In 3.05, 4 Zn 3.38
In: 0.5000 0.0000 0.0000  2 H 2.39
H: 0.0000 0.0000 0.0000  2 Zn 1.89
Zn: 0.0000 0.0000 0.5000  2 H 1.89
In: 0.0000 0.5000 0.0000  2 H 2.39



VASP calculation (PBE) on a geometry-optimized Pm3P2S structure.

- Space group: No. 71
- Calculated volume: 146.5 Å³/f.u.
- DOS at the Fermi energy: 1.631 states/eV/cell
- Formation energy from raw total energies: -1.79 eV per atom

a b c (Å): 4.1058 5.8050 7.1001
angles (deg): 114.13 106.81 90.00
Last column: nearest neighbours and their distance in Å.
Positions (direct):
Pm: 0.8300 0.3300 0.1599  4 P 2.88-2.90, 2 S 2.93
Pm: 0.5000 0.0000 0.5000  4 P 2.90, 2 S 2.90
S: 0.5000 0.5000 0.5000  6 Pm 2.90-2.93
P: 0.1662 0.1662 0.8324  6 Pm 2.88-2.90
P: 0.8338 0.8338 0.1676  6 Pm 2.88-2.90
Pm: 0.1700 0.6700 0.8401  4 P 2.88-2.90, 2 S 2.93